Density functional theory data (PBE+U) for CrMoPbO6 after structural relaxation.

Cell lengths 5.228, 5.228, 10.010 Å; angles 90.00, 90.00, 120.00 degrees
Positions (direct):
Cr: 0.333 0.667 0.250
Cr: 0.667 0.333 0.750
Mo: 0.333 0.667 0.750
Mo: 0.667 0.333 0.250
Pb: 0.000 0.000 0.000
Pb: 0.000 0.000 0.500
O: 0.007 0.375 0.642
O: 0.007 0.632 0.858
O: 0.368 0.375 0.858
O: 0.368 0.993 0.642
O: 0.375 0.007 0.142
O: 0.375 0.368 0.358
O: 0.625 0.632 0.642
O: 0.625 0.993 0.858
O: 0.632 0.007 0.358
O: 0.632 0.625 0.142
O: 0.993 0.368 0.142
O: 0.993 0.625 0.358

Computed properties:
* magnetic moment: 2.52 μB per formula unit
* SG: P-31c, No. 163
* uncorrected energy: -6.827 eV/atom